Entry 1:
PmTmZnGe | GGA-PBE | optimized geometry

a b c (Å): 4.203 4.113 5.913
angles (deg): 90.00 110.82 90.00
Fractional positions:
Zn (0.571, 0.500, 0.142)
Tm (0.862, 0.500, 0.724)
Ge (0.422, 0.000, 0.845)
Pm (0.145, 0.000, 0.289)

Output
ΔE to the lowest computed polymorph   0.0 meV/atom
Formation enthalpy at 0 K   -595 meV per atom
Magnetic moment   0.00 μB/atom
Space-group type   Amm2
Total DFT energy (no corrections)   -4.374 eV/atom
Mass density   7854 kg/m3



Entry 2:
CaTm5Hg6 | GGA-PBE | optimized geometry

a b c (Å): 5.219 7.331 8.280
angles (deg): 90.00 71.63 90.00
Fractional positions:
Hg (0.500, 0.743, 0.000)
Hg (0.169, 0.745, 0.662)
Hg (0.831, 0.255, 0.338)
Hg (0.500, 0.257, 0.000)
Hg (0.831, 0.745, 0.338)
Hg (0.169, 0.255, 0.662)
Tm (0.335, 0.500, 0.330)
Tm (0.665, 0.500, 0.670)
Tm (0.000, 0.500, 0.000)
Tm (0.334, 0.000, 0.332)
Tm (0.666, 0.000, 0.668)
Ca (0.000, 0.000, 0.000)

Output
Formation enthalpy at 0 K   -492 meV per atom
Magnetic moment   0.00 μB/atom
Space-group type   Cmmm
Total DFT energy (no corrections)   -2.673 eV/atom
Mass density   11534 kg/m3



Entry 3:
KCrHg2 | GGA-PBE | optimized geometry

a b c (Å): 5.361 5.361 5.361
angles (deg): 60.00 60.00 60.00
Each line ends with the local moment (μB).
Fractional positions:
Hg (0.000, 0.000, 0.000)  0.03
Hg (0.250, 0.250, 0.250)  0.02
Cr (0.500, 0.500, 0.500)  4.22
K (0.750, 0.750, 0.750)  0.03

Output
ΔE to the lowest computed polymorph   212.3 meV/atom
Formation enthalpy at 0 K   443 meV per atom
Magnetic moment   1.27 μB/atom
Space-group type   F-43m
Total DFT energy (no corrections)   -2.388 eV/atom
Mass density   7502 kg/m3



Entry 4:
SrLiAgBr4 | GGA-PBE | optimized geometry

a b c (Å): 8.307 8.489 8.489
angles (deg): 62.56 60.71 60.71
Fractional positions:
Br (0.736, 0.762, 0.262)
Br (0.264, 0.238, 0.738)
Br (0.254, 0.216, 0.275)
Br (0.254, 0.775, 0.716)
Br (0.746, 0.784, 0.725)
Br (0.240, 0.762, 0.262)
Br (0.746, 0.225, 0.284)
Br (0.760, 0.238, 0.738)
Sr (0.000, 0.500, 0.500)
Sr (0.000, 0.000, 0.000)
Ag (0.652, 0.598, 0.098)
Ag (0.348, 0.402, 0.902)
Li (0.000, 0.000, 0.500)
Li (0.500, 0.000, 0.500)

Output
Raw formation energy   -9.91 eV per formula unit
Magnetic moment   0.00 μB/atom
Space-group type   Imma
Total DFT energy (no corrections)   -3.293 eV/atom
Mass density   3980 kg/m3



Entry 5:
Hf4Ti2Bi | GGA-PBE | optimized geometry

a b c (Å): 5.154 4.932 14.226
angles (deg): 90.00 90.00 121.50
Fractional positions:
Ti (0.844, 0.689, 0.952)
Ti (0.156, 0.311, 0.048)
Ti (0.156, 0.311, 0.452)
Ti (0.844, 0.689, 0.548)
Hf (0.141, 0.281, 0.250)
Hf (0.500, 0.000, 0.500)
Hf (0.167, 0.334, 0.639)
Hf (0.859, 0.719, 0.750)
Hf (0.167, 0.334, 0.861)
Hf (0.500, 0.000, 0.000)
Hf (0.833, 0.666, 0.361)
Hf (0.833, 0.666, 0.139)
Bi (0.486, 0.973, 0.250)
Bi (0.514, 0.027, 0.750)

Output
ΔE to the lowest computed polymorph   0.0 meV/atom
Formation enthalpy at 0 K   216 meV per atom
Magnetic moment   0.00 μB/atom
Space-group type   Cmcm
Total DFT energy (no corrections)   -8.281 eV/atom
Mass density   10972 kg/m3



Entry 6:
Li4RhAu | GGA-PBE | optimized geometry

a b c (Å): 4.834 4.834 4.834
angles (deg): 60.00 60.00 60.00
Fractional positions:
Li (0.872, 0.376, 0.376)
Li (0.376, 0.376, 0.872)
Li (0.376, 0.872, 0.376)
Li (0.376, 0.376, 0.376)
Rh (0.750, 0.750, 0.750)
Au (0.000, 0.000, 0.000)

Output
ΔE to the lowest computed polymorph   180.8 meV/atom
Formation enthalpy at 0 K   -124 meV per atom
Magnetic moment   0.00 μB/atom
Space-group type   F-43m
Total DFT energy (no corrections)   -3.171 eV/atom
Mass density   6812 kg/m3



Entry 7:
BaNa6Pb6 | GGA-PBE | optimized geometry

a b c (Å): 6.398 8.546 8.546
angles (deg): 81.13 68.02 68.02
Fractional positions:
Na (0.500, 0.000, 0.500)
Na (0.500, 0.233, 0.767)
Na (0.500, 0.500, 0.000)
Na (0.500, 0.767, 0.233)
Na (0.000, 0.500, 0.000)
Na (0.000, 0.000, 0.500)
Pb (0.695, 0.805, 0.805)
Pb (0.000, 0.634, 0.366)
Pb (0.305, 0.195, 0.195)
Pb (0.000, 0.366, 0.634)
Pb (0.648, 0.352, 0.352)
Pb (0.352, 0.648, 0.648)
Ba (0.000, 0.000, 0.000)

Output
Formation enthalpy at 0 K   -145 meV per atom
Magnetic moment   0.00 μB/atom
Space-group type   Immm
Total DFT energy (no corrections)   -2.613 eV/atom
Mass density   6276 kg/m3



Entry 8:
Tb2PmBe | GGA-PBE | optimized geometry

a b c (Å): 3.492 3.492 8.693
angles (deg): 90.00 90.00 90.00
Fractional positions:
Be (0.500, 0.500, 0.000)
Tb (0.000, 0.000, 0.190)
Tb (0.000, 0.000, 0.810)
Pm (0.500, 0.500, 0.500)

Output
ΔE to the lowest computed polymorph   0.0 meV/atom
Formation enthalpy at 0 K   75 meV per atom
Magnetic moment   0.00 μB/atom
Space-group type   P4/mmm
Total DFT energy (no corrections)   -4.359 eV/atom
Mass density   7393 kg/m3



Entry 9:
NbSb2SI | GGA-PBE | optimized geometry

a b c (Å): 5.423 5.423 5.224
angles (deg): 90.00 90.00 90.00
Fractional positions:
Nb (0.000, 0.000, 0.000)
Sb (0.500, 0.000, 0.000)
Sb (0.000, 0.500, 0.000)
I (0.000, 0.000, 0.500)
S (0.500, 0.500, 0.500)

Output
Raw formation energy   2.78 eV per formula unit
ΔE to the lowest computed polymorph   0.0 meV/atom
Magnetic moment   0.00 μB/atom
Space-group type   P4/mmm
Total DFT energy (no corrections)   -4.243 eV/atom
Mass density   5355 kg/m3



Entry 10:
NaAcAgAs | GGA-PBE | optimized geometry

a b c (Å): 5.327 5.327 5.327
angles (deg): 60.00 60.00 60.00
Fractional positions:
As (0.250, 0.250, 0.250)
Ac (0.000, 0.000, 0.000)
Ag (0.750, 0.750, 0.750)
Na (0.500, 0.500, 0.500)

Output
Formation enthalpy at 0 K   -553 meV per atom
Magnetic moment   0.00 μB/atom
Space-group type   F-43m
Total DFT energy (no corrections)   -3.785 eV/atom
Mass density   6725 kg/m3



Entry 11:
Ho3Tm4In2 | GGA-PBE | optimized geometry

a b c (Å): 4.865 7.546 7.793
angles (deg): 107.79 108.19 90.00
Fractional positions:
Tm (0.221, 0.320, 0.443)
Tm (0.556, 0.329, 0.111)
Tm (0.444, 0.671, 0.889)
Tm (0.779, 0.680, 0.557)
In (0.340, 0.001, 0.679)
In (0.660, 0.999, 0.321)
Ho (0.000, 0.000, 0.000)
Ho (0.886, 0.327, 0.773)
Ho (0.114, 0.673, 0.227)

Output
Formation enthalpy at 0 K   -177 meV per atom
Magnetic moment   0.00 μB/atom
Space-group type   C2/m
Total DFT energy (no corrections)   -4.299 eV/atom
Mass density   9034 kg/m3



Entry 12:
Tm3PbCO | GGA-PBE | optimized geometry

a b c (Å): 3.667 8.668 8.863
angles (deg): 110.97 90.00 90.00
Fractional positions:
Tm (0.250, 0.525, 0.855)
Tm (0.250, 0.141, 0.864)
Tm (0.750, 0.859, 0.136)
Tm (0.250, 0.819, 0.449)
Tm (0.750, 0.181, 0.551)
Tm (0.750, 0.475, 0.145)
Pb (0.250, 0.228, 0.259)
Pb (0.750, 0.772, 0.741)
O (0.750, 0.916, 0.391)
O (0.250, 0.084, 0.609)
C (0.250, 0.668, 0.139)
C (0.750, 0.332, 0.861)

Output
Raw formation energy   -7.92 eV per formula unit
Magnetic moment   0.00 μB/atom
Space-group type   P2_1/m
Total DFT energy (no corrections)   -6.537 eV/atom
Mass density   9367 kg/m3